A relaxed structure of Co2PClO4. Source: Alexandria via LeMat-Bulk, functional GGA+U.

Final energy ... -6.259 eV/atom
DOS(E_F) ... 0.00 states/eV/f.u.
Total moment ... 5.914 μB per formula unit

Unit cell a=13.648 b=9.217 c=9.323 alpha=90.00 beta=132.91 gamma=90.00
Space group C2/c (No. 15)
Asymmetric unit:
Co 0.000 0.000 0.000 x4
Co 0.000 0.271 0.250 x4
Co 0.183 0.257 0.176 x8
P 0.234 0.008 0.486 x8
Cl 0.073 0.262 0.573 x8
O 0.126 0.096 0.288 x8
O 0.153 0.072 0.025 x8
O 0.168 0.383 0.344 x8
O 0.188 0.405 0.030 x8